Material: LaSm3Th2
Method: DFT, PBE
State: relaxed

Cell and atoms, written as extended XYZ:
```
12
Lattice="3.4636 -8.8924 0.0000 3.4636 8.8924 0.0000 0.0000 0.0000 6.6488" Properties=species:S:1:pos:R:3 pbc="T T T"
La 3.4636 6.2351 4.9866
La 3.4636 -6.2351 1.6622
Sm 1.7398 3.0768 4.9866
Sm 3.4636 2.6333 1.6622
Sm 1.7398 -3.0768 1.6622
Sm 5.1873 3.0768 4.9866
Sm 3.4636 -2.6333 4.9866
Sm 5.1873 -3.0768 1.6622
Th 1.7401 0.0000 0.0000
Th 1.7401 0.0000 3.3244
Th 5.1870 0.0000 0.0000
Th 5.1870 0.0000 3.3244
```

**Symmetry**: Cmcm, No. 63
**Formation enthalpy at 0 K**: 1.1 eV/f.u.
**Energy**: -5.47 eV/atom
**Total magnetization**: 0.00 Bohr magnetons per cell